1.
## Er6As5Br (PBE)

Data for Er6As5Br after structural relaxation.

a b c (Å): 7.087 7.087 7.072
angles (deg): 99.60 99.60 119.88
Sites, in units of the cell vectors:
Er 0.060 0.412 0.739
Er 0.234 0.234 0.258
Er 0.412 0.060 0.739
Er 0.588 0.940 0.261
Er 0.766 0.766 0.742
Er 0.940 0.588 0.261
As 0.000 0.000 0.500
As 0.168 0.832 0.000
As 0.340 0.660 0.500
As 0.660 0.340 0.500
As 0.832 0.168 0.000
Br 0.500 0.500 0.000

Results
* SG: C2/m
* total magnetic moment: 0.0000 μB/atom
* formation energy without anion corrections: -1.492 eV/atom

2.
## ErAsBrO4 (PBE)

Data for ErAsBrO4 after structural relaxation.

a b c (Å): 6.593 6.593 6.742
angles (deg): 100.91 100.91 57.05
Sites, in units of the cell vectors:
Er 0.203 0.203 0.332
Er 0.797 0.797 0.668
As 0.135 0.135 0.763
As 0.865 0.865 0.237
Br 0.477 0.477 0.826
Br 0.523 0.523 0.174
O 0.014 0.014 0.268
O 0.025 0.611 0.374
O 0.204 0.204 0.011
O 0.389 0.975 0.626
O 0.611 0.025 0.374
O 0.796 0.796 0.989
O 0.975 0.389 0.626
O 0.986 0.986 0.732

Results
* SG: C2/m
* total magnetic moment: 0.0000 μB/atom
* formation energy without anion corrections: -1.915 eV/atom

3.
## Eu2AsBr (PBE)

Data for Eu2AsBr after structural relaxation.

a b c (Å): 5.350 5.350 5.350
angles (deg): 60.00 60.00 60.00
Sites, in units of the cell vectors:
Eu 0.250 0.250 0.250
Eu 0.750 0.750 0.750
As 0.000 0.000 0.000
Br 0.500 0.500 0.500

Results
* SG: Fm-3m
* total magnetic moment: 3.5000 μB/atom
* formation energy without anion corrections: -1.345 eV/atom

4.
## PmEuAsBr (PBE)

Data for PmEuAsBr after structural relaxation.

a b c (Å): 5.256 5.256 5.256
angles (deg): 60.00 60.00 60.00
Sites, in units of the cell vectors:
Pm 0.000 0.000 0.000
Eu 0.500 0.500 0.500
As 0.250 0.250 0.250
Br 0.750 0.750 0.750

Results
* SG: F-43m
* total magnetic moment: 1.9744 μB/atom
* formation energy without anion corrections: -1.237 eV/atom

5.
## As3BrF (PBE)

Data for As3BrF after structural relaxation.

a b c (Å): 4.704 4.704 4.704
angles (deg): 90.00 90.00 90.00
Sites, in units of the cell vectors:
As 0.000 0.000 0.500
As 0.000 0.500 0.000
As 0.500 0.000 0.000
Br 0.500 0.500 0.500
F 0.000 0.000 0.000

Results
* SG: Pm-3m
* total magnetic moment: 0.0000 μB/atom
* formation energy without anion corrections: 0.574 eV/atom

6.
## AsBr3F (PBE)

Data for AsBr3F after structural relaxation.

a b c (Å): 4.905 4.905 4.905
angles (deg): 90.00 90.00 90.00
Sites, in units of the cell vectors:
As 0.000 0.000 0.000
Br 0.000 0.500 0.500
Br 0.500 0.000 0.500
Br 0.500 0.500 0.000
F 0.500 0.500 0.500

Results
* SG: Pm-3m
* total magnetic moment: 0.0000 μB/atom
* formation energy without anion corrections: 0.603 eV/atom

7.
## AsBr2F5 (PBE)

Data for AsBr2F5 after structural relaxation.

a b c (Å): 5.060 6.574 6.874
angles (deg): 84.39 75.52 68.47
Sites, in units of the cell vectors:
As 0.000 0.000 0.000
Br 0.391 0.500 0.509
Br 0.863 0.568 0.497
F 0.063 0.052 0.222
F 0.211 0.043 0.772
F 0.241 0.732 0.005
F 0.723 0.905 0.005
F 0.757 0.268 0.995

Results
* SG: P1
* total magnetic moment: 0.0000 μB/atom
* formation energy without anion corrections: -1.494 eV/atom

8.
## As2BrF2 (PBE)

Data for As2BrF2 after structural relaxation.

a b c (Å): 5.823 5.823 5.823
angles (deg): 137.78 137.78 61.23
Sites, in units of the cell vectors:
As 0.125 0.125 0.000
As 0.875 0.875 0.000
Br 0.500 0.500 0.000
F 0.250 0.750 0.500
F 0.750 0.250 0.500

Results
* SG: I4/mmm
* total magnetic moment: 0.0000 μB/atom
* formation energy without anion corrections: -0.520 eV/atom